(A)
The following is a DFT calculation (PBE) of a relaxed structure of Pa2Fe5Si3.

Computed properties:
Fermi-level density of states = 1.2351 states/eV/atom

The structure in CIF format:
```
data_Pa2Fe5Si3
_chemical_formula_sum 'Pa8 Fe20 Si12'
_cell_length_a 9.633
_cell_length_b 10.813
_cell_length_c 5.588
_cell_angle_alpha 90.00
_cell_angle_beta 90.00
_cell_angle_gamma 90.00
_space_group_name_H-M_alt 'I b a m'
_space_group_IT_number 72
_space_group_name_Hall '-I 2 2c'
loop_
_atom_site_label
_atom_site_type_symbol
_atom_site_fract_x
_atom_site_fract_y
_atom_site_fract_z
Pa1 Pa 0.240 0.123 0.000
Fe1 Fe 0.000 0.000 0.250
Fe2 Fe 0.000 0.261 0.250
Fe3 Fe 0.140 0.378 0.000
Si1 Si 0.000 0.500 0.250
Si2 Si 0.120 0.128 0.500
```

(B)
The following is a DFT calculation (PBE) of a relaxed structure of Pa2Fe5Si3.

Computed properties:
Fermi-level density of states = 0.8651 states/eV/atom

The structure in CIF format:
```
data_Pa2Fe5Si3
_chemical_formula_sum 'Pa8 Fe20 Si12'
_cell_length_a 3.930
_cell_length_b 23.557
_cell_length_c 6.139
_cell_angle_alpha 90.00
_cell_angle_beta 90.00
_cell_angle_gamma 90.00
_space_group_name_H-M_alt 'C m c 21'
_space_group_IT_number 36
loop_
_space_group_symop_operation_xyz
'x,y,z'
'-x,-y,z+1/2'
'-x,y,z'
'x,-y,z+1/2'
'x+1/2,y+1/2,z'
'-x+1/2,-y+1/2,z+1/2'
'-x+1/2,y+1/2,z'
'x+1/2,-y+1/2,z+1/2'
loop_
_atom_site_label
_atom_site_type_symbol
_atom_site_fract_x
_atom_site_fract_y
_atom_site_fract_z
Pa1 Pa 0.000 0.009 0.000
Pa2 Pa 0.000 0.322 0.998
Fe1 Fe 0.000 0.107 0.654
Fe2 Fe 0.000 0.205 0.781
Fe3 Fe 0.000 0.210 0.184
Fe4 Fe 0.000 0.370 0.497
Fe5 Fe 0.000 0.441 0.846
Si1 Si 0.000 0.112 0.236
Si2 Si 0.000 0.273 0.486
Si3 Si 0.000 0.439 0.226
```

Which one sits at the top of the stability order? (A) does.

(A)
The following is a DFT calculation (PBE) of a relaxed structure of Pa2FeSi3.

Computed properties:
Fermi-level density of states = 1.0344 states/eV/atom

The structure in CIF format:
```
data_Pa2FeSi3
_chemical_formula_sum 'Pa16 Fe8 Si24'
_cell_length_a 7.886
_cell_length_b 8.023
_cell_length_c 13.720
_cell_angle_alpha 90.00
_cell_angle_beta 90.00
_cell_angle_gamma 90.00
_space_group_name_H-M_alt 'F m m m'
_space_group_IT_number 69
_space_group_name_Hall '-F 2 2'
loop_
_atom_site_label
_atom_site_type_symbol
_atom_site_fract_x
_atom_site_fract_y
_atom_site_fract_z
Pa1 Pa 0.241 0.000 0.000
Pa2 Pa 0.250 0.250 0.250
Fe1 Fe 0.000 0.000 0.164
Si1 Si 0.000 0.000 0.329
Si2 Si 0.000 0.250 0.085
```

(B)
The following is a DFT calculation (PBE) of a relaxed structure of Pa2FeSi3.

Computed properties:
Fermi-level density of states = 0.8657 states/eV/atom

The structure in CIF format:
```
data_Pa2FeSi3
_chemical_formula_sum 'Pa2 Fe1 Si3'
_cell_length_a 3.837
_cell_length_b 4.077
_cell_length_c 6.905
_cell_angle_alpha 90.00
_cell_angle_beta 90.00
_cell_angle_gamma 90.00
_space_group_name_H-M_alt 'P m m 2'
_space_group_IT_number 25
loop_
_space_group_symop_operation_xyz
'x,y,z'
'-x,-y,z'
'-x,y,z'
'x,-y,z'
loop_
_atom_site_label
_atom_site_type_symbol
_atom_site_fract_x
_atom_site_fract_y
_atom_site_fract_z
Pa1 Pa 0.000 0.000 0.000
Pa2 Pa 0.000 0.500 0.475
Fe1 Fe 0.500 0.000 0.314
Si1 Si 0.500 0.000 0.644
Si2 Si 0.500 0.500 0.158
Si3 Si 0.500 0.500 0.817
```

Which one sits at the top of the stability order? (A) does.

(A)
The following is a DFT calculation (PBE) of a relaxed structure of SmPa2Fe.

Computed properties:
Fermi-level density of states = 1.8890 states/eV/atom

The structure in CIF format:
```
data_SmPa2Fe
_chemical_formula_sum 'Sm1 Pa2 Fe1'
_cell_length_a 3.417
_cell_length_b 3.417
_cell_length_c 8.098
_cell_angle_alpha 90.00
_cell_angle_beta 90.00
_cell_angle_gamma 90.00
_space_group_name_H-M_alt 'P 4/m m m'
_space_group_IT_number 123
_space_group_name_Hall '-P 4 2'
loop_
_atom_site_label
_atom_site_type_symbol
_atom_site_fract_x
_atom_site_fract_y
_atom_site_fract_z
Sm1 Sm 0.000 0.000 0.000
Pa1 Pa 0.500 0.500 0.324
Fe1 Fe 0.000 0.000 0.500
```

(B)
The following is a DFT calculation (PBE) of a relaxed structure of SmPa2Fe.

Computed properties:
Fermi-level density of states = 1.7834 states/eV/atom

The structure in CIF format:
```
data_SmPa2Fe
_chemical_formula_sum 'Sm3 Pa6 Fe3'
_cell_length_a 3.5971
_cell_length_b 3.5971
_cell_length_c 26.4772
_cell_angle_alpha 90.00
_cell_angle_beta 90.00
_cell_angle_gamma 120.00
_space_group_name_H-M_alt 'R -3 m'
_space_group_IT_number 166
_space_group_name_Hall '-R 3 2"'
loop_
_atom_site_label
_atom_site_type_symbol
_atom_site_fract_x
_atom_site_fract_y
_atom_site_fract_z
Sm1 Sm 0.0000 0.0000 0.0000
Pa1 Pa 0.0000 0.0000 0.2257
Fe1 Fe 0.0000 0.0000 0.5000
```

Which one sits at the top of the stability order? (B) does.

(A)
The following is a DFT calculation (PBE) of a relaxed structure of PaFe2Sn.

Computed properties:
Fermi-level density of states = 1.1511 states/eV/atom

The structure in CIF format:
```
data_PaFe2Sn
_chemical_formula_sum 'Pa3 Fe6 Sn3'
_cell_length_a 4.6266
_cell_length_b 4.6266
_cell_length_c 11.9160
_cell_angle_alpha 90.00
_cell_angle_beta 90.00
_cell_angle_gamma 120.00
_space_group_name_H-M_alt 'R -3 m'
_space_group_IT_number 166
_space_group_name_Hall '-R 3 2"'
loop_
_atom_site_label
_atom_site_type_symbol
_atom_site_fract_x
_atom_site_fract_y
_atom_site_fract_z
Pa1 Pa 0.0000 0.0000 0.0000
Fe1 Fe 0.0000 0.0000 0.1887
Sn1 Sn 0.0000 0.0000 0.5000
```

(B)
The following is a DFT calculation (PBE) of a relaxed structure of PaFe2Sn.

Computed properties:
Fermi-level density of states = 0.6491 states/eV/atom

The structure in CIF format:
```
data_PaFe2Sn
_chemical_formula_sum 'Pa1 Fe2 Sn1'
_cell_length_a 4.509
_cell_length_b 4.509
_cell_length_c 3.325
_cell_angle_alpha 90.00
_cell_angle_beta 90.00
_cell_angle_gamma 90.00
_space_group_name_H-M_alt 'P 4/m m m'
_space_group_IT_number 123
_space_group_name_Hall '-P 4 2'
loop_
_atom_site_label
_atom_site_type_symbol
_atom_site_fract_x
_atom_site_fract_y
_atom_site_fract_z
Pa1 Pa 0.000 0.000 0.000
Fe1 Fe 0.000 0.500 0.500
Sn1 Sn 0.500 0.500 0.000
```

(C)
The following is a DFT calculation (PBE) of a relaxed structure of PaFe2Sn.

Computed properties:
Fermi-level density of states = 0.9808 states/eV/atom

The structure in CIF format:
```
data_PaFe2Sn
_chemical_formula_sum 'Pa1 Fe2 Sn1'
_cell_length_a 3.321
_cell_length_b 3.321
_cell_length_c 6.382
_cell_angle_alpha 90.00
_cell_angle_beta 90.00
_cell_angle_gamma 90.00
_space_group_name_H-M_alt 'P 4/m m m'
_space_group_IT_number 123
_space_group_name_Hall '-P 4 2'
loop_
_atom_site_label
_atom_site_type_symbol
_atom_site_fract_x
_atom_site_fract_y
_atom_site_fract_z
Pa1 Pa 0.000 0.000 0.000
Fe1 Fe 0.500 0.500 0.228
Sn1 Sn 0.000 0.000 0.500
```

(D)
The following is a DFT calculation (PBE) of a relaxed structure of PaFe2Sn.

Computed properties:
Fermi-level density of states = 1.1313 states/eV/atom

The structure in CIF format:
```
data_PaFe2Sn
_chemical_formula_sum 'Pa2 Fe4 Sn2'
_cell_length_a 4.854
_cell_length_b 5.372
_cell_length_c 5.997
_cell_angle_alpha 91.41
_cell_angle_beta 111.50
_cell_angle_gamma 101.72
_space_group_name_H-M_alt 'P -1'
_space_group_IT_number 2
loop_
_space_group_symop_operation_xyz
'x,y,z'
'-x,-y,-z'
loop_
_atom_site_label
_atom_site_type_symbol
_atom_site_fract_x
_atom_site_fract_y
_atom_site_fract_z
Pa1 Pa 0.172 0.315 0.223
Fe1 Fe 0.111 0.738 0.395
Fe2 Fe 0.345 0.606 0.805
Sn1 Sn 0.428 0.122 0.761
```

Which one sits at the top of the stability order? (A) does.

(A)
The following is a DFT calculation (PBE) of a relaxed structure of Pa2FeSn.

Computed properties:
Fermi-level density of states = 1.0177 states/eV/atom

The structure in CIF format:
```
data_Pa2FeSn
_chemical_formula_sum 'Pa6 Fe3 Sn3'
_cell_length_a 3.7307
_cell_length_b 3.7307
_cell_length_c 23.9322
_cell_angle_alpha 90.00
_cell_angle_beta 90.00
_cell_angle_gamma 120.00
_space_group_name_H-M_alt 'R -3 m'
_space_group_IT_number 166
_space_group_name_Hall '-R 3 2"'
loop_
_atom_site_label
_atom_site_type_symbol
_atom_site_fract_x
_atom_site_fract_y
_atom_site_fract_z
Pa1 Pa 0.0000 0.0000 0.2293
Fe1 Fe 0.0000 0.0000 0.5000
Sn1 Sn 0.0000 0.0000 0.0000
```

(B)
The following is a DFT calculation (PBE) of a relaxed structure of Pa2FeSn.

Computed properties:
Fermi-level density of states = 1.1782 states/eV/atom

The structure in CIF format:
```
data_Pa2FeSn
_chemical_formula_sum 'Pa2 Fe1 Sn1'
_cell_length_a 3.161
_cell_length_b 3.161
_cell_length_c 8.535
_cell_angle_alpha 90.00
_cell_angle_beta 90.00
_cell_angle_gamma 90.00
_space_group_name_H-M_alt 'P 4/m m m'
_space_group_IT_number 123
_space_group_name_Hall '-P 4 2'
loop_
_atom_site_label
_atom_site_type_symbol
_atom_site_fract_x
_atom_site_fract_y
_atom_site_fract_z
Pa1 Pa 0.000 0.000 0.207
Fe1 Fe 0.500 0.500 0.000
Sn1 Sn 0.500 0.500 0.500
```

Which one sits at the top of the stability order? (B) does.

(A)
The following is a DFT calculation (PBE) of a relaxed structure of PaTa2Fe.

Computed properties:
Fermi-level density of states = 1.1813 states/eV/atom

The structure in CIF format:
```
data_PaTa2Fe
_chemical_formula_sum 'Pa3 Ta6 Fe3'
_cell_length_a 2.9633
_cell_length_b 2.9633
_cell_length_c 29.1655
_cell_angle_alpha 90.00
_cell_angle_beta 90.00
_cell_angle_gamma 120.00
_space_group_name_H-M_alt 'R -3 m'
_space_group_IT_number 166
_space_group_name_Hall '-R 3 2"'
loop_
_atom_site_label
_atom_site_type_symbol
_atom_site_fract_x
_atom_site_fract_y
_atom_site_fract_z
Pa1 Pa 0.0000 0.0000 0.0000
Ta1 Ta 0.0000 0.0000 0.0978
Fe1 Fe 0.0000 0.0000 0.5000
```

(B)
The following is a DFT calculation (PBE) of a relaxed structure of PaTa2Fe.

Computed properties:
Fermi-level density of states = 1.5224 states/eV/atom

The structure in CIF format:
```
data_PaTa2Fe
_chemical_formula_sum 'Pa1 Ta2 Fe1'
_cell_length_a 3.022
_cell_length_b 3.022
_cell_length_c 7.957
_cell_angle_alpha 90.00
_cell_angle_beta 90.00
_cell_angle_gamma 90.00
_space_group_name_H-M_alt 'P 4/m m m'
_space_group_IT_number 123
_space_group_name_Hall '-P 4 2'
loop_
_atom_site_label
_atom_site_type_symbol
_atom_site_fract_x
_atom_site_fract_y
_atom_site_fract_z
Pa1 Pa 0.000 0.000 0.000
Ta1 Ta 0.500 0.500 0.304
Fe1 Fe 0.000 0.000 0.500
```

Which one sits at the top of the stability order? (B) does.

(A)
The following is a DFT calculation (PBE) of a relaxed structure of TbPaFe2.

Computed properties:
Fermi-level density of states = 0.9072 states/eV/atom

The structure in CIF format:
```
data_TbPaFe2
_chemical_formula_sum 'Tb1 Pa1 Fe2'
_cell_length_a 3.306
_cell_length_b 3.306
_cell_length_c 6.804
_cell_angle_alpha 90.00
_cell_angle_beta 90.00
_cell_angle_gamma 90.00
_space_group_name_H-M_alt 'P 4/m m m'
_space_group_IT_number 123
_space_group_name_Hall '-P 4 2'
loop_
_atom_site_label
_atom_site_type_symbol
_atom_site_fract_x
_atom_site_fract_y
_atom_site_fract_z
Tb1 Tb 0.000 0.000 0.000
Pa1 Pa 0.000 0.000 0.500
Fe1 Fe 0.500 0.500 0.298
```

(B)
The following is a DFT calculation (PBE) of a relaxed structure of TbPaFe2.

Computed properties:
Fermi-level density of states = 1.0859 states/eV/atom

The structure in CIF format:
```
data_TbPaFe2
_chemical_formula_sum 'Tb3 Pa3 Fe6'
_cell_length_a 3.4753
_cell_length_b 3.4753
_cell_length_c 22.2732
_cell_angle_alpha 90.00
_cell_angle_beta 90.00
_cell_angle_gamma 120.00
_space_group_name_H-M_alt 'R -3 m'
_space_group_IT_number 166
_space_group_name_Hall '-R 3 2"'
loop_
_atom_site_label
_atom_site_type_symbol
_atom_site_fract_x
_atom_site_fract_y
_atom_site_fract_z
Tb1 Tb 0.0000 0.0000 0.0000
Pa1 Pa 0.0000 0.0000 0.5000
Fe1 Fe 0.0000 0.0000 0.2398
```

Which one sits at the top of the stability order? (A) does.

(A)
The following is a DFT calculation (PBE) of a relaxed structure of TbPa2Fe.

Computed properties:
Fermi-level density of states = 1.6336 states/eV/atom

The structure in CIF format:
```
data_TbPa2Fe
_chemical_formula_sum 'Tb3 Pa6 Fe3'
_cell_length_a 3.5818
_cell_length_b 3.5818
_cell_length_c 26.2439
_cell_angle_alpha 90.00
_cell_angle_beta 90.00
_cell_angle_gamma 120.00
_space_group_name_H-M_alt 'R -3 m'
_space_group_IT_number 166
_space_group_name_Hall '-R 3 2"'
loop_
_atom_site_label
_atom_site_type_symbol
_atom_site_fract_x
_atom_site_fract_y
_atom_site_fract_z
Tb1 Tb 0.0000 0.0000 0.0000
Pa1 Pa 0.0000 0.0000 0.2266
Fe1 Fe 0.0000 0.0000 0.5000
```

(B)
The following is a DFT calculation (PBE) of a relaxed structure of TbPa2Fe.

Computed properties:
Fermi-level density of states = 1.7772 states/eV/atom

The structure in CIF format:
```
data_TbPa2Fe
_chemical_formula_sum 'Tb1 Pa2 Fe1'
_cell_length_a 3.414
_cell_length_b 3.414
_cell_length_c 7.978
_cell_angle_alpha 90.00
_cell_angle_beta 90.00
_cell_angle_gamma 90.00
_space_group_name_H-M_alt 'P 4/m m m'
_space_group_IT_number 123
_space_group_name_Hall '-P 4 2'
loop_
_atom_site_label
_atom_site_type_symbol
_atom_site_fract_x
_atom_site_fract_y
_atom_site_fract_z
Tb1 Tb 0.000 0.000 0.000
Pa1 Pa 0.500 0.500 0.321
Fe1 Fe 0.000 0.000 0.500
```

Which one sits at the top of the stability order? (A) does.